Entry 1:
# CdTe2PbN (PBE, relaxed)
data_CdTe2PbN
_cell_length_a 5.9683
_cell_length_b 5.9683
_cell_length_c 4.3727
_cell_angle_alpha 90.00
_cell_angle_beta 90.00
_cell_angle_gamma 90.00
_symmetry_space_group_name_H-M 'P 4/m m m'
_symmetry_Int_Tables_number 123
_symmetry_space_group_name_Hall '-P 4 2'
loop_
_atom_site_label
_atom_site_type_symbol
_atom_site_fract_x
_atom_site_fract_y
_atom_site_fract_z
_atom_site_occupancy
Cd1 Cd 0.0000 0.0000 0.0000 1
Te1 Te 0.0000 0.5000 0.5000 1
Pb1 Pb 0.5000 0.5000 0.5000 1
N1 N 0.5000 0.5000 0.0000 1
# DFT total energy   -2.882 eV per atom
# Raw formation energy   93.1 kJ per mole of atoms
# Distance to the lowest polymorph of the same formula   241 meV/atom
# V   31.2 Å³/atom

=====

Entry 2:
# ScHPd2Pt (PBE, relaxed)
data_ScHPd2Pt
_cell_length_a 4.0561
_cell_length_b 4.0561
_cell_length_c 4.0597
_cell_angle_alpha 90.00
_cell_angle_beta 90.00
_cell_angle_gamma 90.00
_symmetry_space_group_name_H-M 'P 4/m m m'
_symmetry_Int_Tables_number 123
_symmetry_space_group_name_Hall '-P 4 2'
loop_
_atom_site_label
_atom_site_type_symbol
_atom_site_fract_x
_atom_site_fract_y
_atom_site_fract_z
_atom_site_occupancy
Sc1 Sc 0.0000 0.0000 0.0000 1
H1 H 0.5000 0.5000 0.5000 1
Pd1 Pd 0.0000 0.5000 0.5000 1
Pt1 Pt 0.5000 0.5000 0.0000 1
# DFT total energy   -5.954 eV per atom
# Distance to the lowest polymorph of the same formula   0 meV/atom
# V   13.4 Å³/atom

=====

Entry 3:
# K3URh2S6 (PBE, relaxed)
data_K3URh2S6
_cell_length_a 6.4205
_cell_length_b 11.1239
_cell_length_c 7.6886
_cell_angle_alpha 90.00
_cell_angle_beta 106.30
_cell_angle_gamma 90.00
_symmetry_space_group_name_H-M 'C 1 2/m 1'
_symmetry_Int_Tables_number 12
loop_
_symmetry_equiv_pos_as_xyz
'x,y,z'
'-x,-y,-z'
'-x,y,-z'
'x,-y,z'
'x+1/2,y+1/2,z'
'-x+1/2,-y+1/2,-z'
'-x+1/2,y+1/2,-z'
'x+1/2,-y+1/2,z'
loop_
_atom_site_label
_atom_site_type_symbol
_atom_site_fract_x
_atom_site_fract_y
_atom_site_fract_z
_atom_site_occupancy
K1 K 0.0000 0.0000 0.0000 1
K2 K 0.0000 0.3378 0.0000 1
U1 U 0.0000 0.5000 0.5000 1
Rh1 Rh 0.0000 0.1668 0.5000 1
S1 S 0.2045 0.0000 0.6854 1
S2 S 0.2412 0.3213 0.6868 1
# DFT total energy   -5.459 eV per atom
# Raw formation energy   -92.2 kJ per mole of atoms
# V   22.0 Å³/atom

=====

Entry 4:
# Pm3In2Rh3 (PBE, relaxed)
data_Pm3In2Rh3
_cell_length_a 3.4245
_cell_length_b 5.0716
_cell_length_c 20.7842
_cell_angle_alpha 90.00
_cell_angle_beta 90.00
_cell_angle_gamma 90.00
_symmetry_space_group_name_H-M 'I m m m'
_symmetry_Int_Tables_number 71
_symmetry_space_group_name_Hall '-I 2 2'
loop_
_atom_site_label
_atom_site_type_symbol
_atom_site_fract_x
_atom_site_fract_y
_atom_site_fract_z
_atom_site_occupancy
Pm1 Pm 0.0000 0.0000 0.0000 1
Pm2 Pm 0.0000 0.5000 0.1208 1
In1 In 0.0000 0.0000 0.2269 1
Rh1 Rh 0.0000 0.0000 0.5000 1
Rh2 Rh 0.0000 0.5000 0.3822 1
# DFT total energy   -5.757 eV per atom
# Distance to the lowest polymorph of the same formula   100 meV/atom
# V   22.6 Å³/atom

=====

Entry 5:
# AcPrSbO2 (PBE, relaxed)
data_AcPrSbO2
_cell_length_a 4.1101
_cell_length_b 4.1101
_cell_length_c 14.2670
_cell_angle_alpha 90.00
_cell_angle_beta 90.00
_cell_angle_gamma 90.00
_symmetry_space_group_name_H-M 'I 4 m m'
_symmetry_Int_Tables_number 107
_symmetry_space_group_name_Hall 'I 4 -2'
loop_
_atom_site_label
_atom_site_type_symbol
_atom_site_fract_x
_atom_site_fract_y
_atom_site_fract_z
_atom_site_occupancy
Ac1 Ac 0.0000 0.0000 0.0000 1
Pr1 Pr 0.0000 0.0000 0.6758 1
Sb1 Sb 0.0000 0.0000 0.3338 1
O1 O 0.0000 0.5000 0.0926 1
# DFT total energy   -7.175 eV per atom
# Raw formation energy   -249.9 kJ per mole of atoms
# V   24.1 Å³/atom

=====

Entry 6:
# TbTiAl (PBE, relaxed)
data_TbTiAl
_cell_length_a 4.9013
_cell_length_b 4.9013
_cell_length_c 2.9816
_cell_angle_alpha 90.00
_cell_angle_beta 90.00
_cell_angle_gamma 120.00
_symmetry_space_group_name_H-M 'P -6 m 2'
_symmetry_Int_Tables_number 187
_symmetry_space_group_name_Hall 'P -6 2'
loop_
_atom_site_label
_atom_site_type_symbol
_atom_site_fract_x
_atom_site_fract_y
_atom_site_fract_z
_atom_site_occupancy
Tb1 Tb 0.0000 0.0000 0.0000 1
Ti1 Ti 0.3333 0.6667 0.0000 1
Al1 Al 0.6667 0.3333 0.5000 1
# DFT total energy   -5.335 eV per atom
# Distance to the lowest polymorph of the same formula   240 meV/atom
# V   20.7 Å³/atom

=====

Entry 7:
# Hf6ReRh (PBE, relaxed)
data_Hf6ReRh
_cell_length_a 6.3247
_cell_length_b 9.0497
_cell_length_c 5.7981
_cell_angle_alpha 90.00
_cell_angle_beta 105.92
_cell_angle_gamma 90.00
_symmetry_space_group_name_H-M 'C 1 2/m 1'
_symmetry_Int_Tables_number 12
loop_
_symmetry_equiv_pos_as_xyz
'x,y,z'
'-x,-y,-z'
'-x,y,-z'
'x,-y,z'
'x+1/2,y+1/2,z'
'-x+1/2,-y+1/2,-z'
'-x+1/2,y+1/2,-z'
'x+1/2,-y+1/2,z'
loop_
_atom_site_label
_atom_site_type_symbol
_atom_site_fract_x
_atom_site_fract_y
_atom_site_fract_z
_atom_site_occupancy
Hf1 Hf 0.0883 0.2487 0.2679 1
Hf2 Hf 0.2431 0.0000 0.9912 1
Re1 Re 0.0000 0.0000 0.5000 1
Rh1 Rh 0.0000 0.5000 0.5000 1
# DFT total energy   -10.130 eV per atom
# V   19.9 Å³/atom

=====

Entry 8:
# Na2Ge2Pd5Pb (PBE, relaxed)
data_Na2Ge2Pd5Pb
_cell_length_a 10.1090
_cell_length_b 10.1090
_cell_length_c 3.6306
_cell_angle_alpha 90.00
_cell_angle_beta 90.00
_cell_angle_gamma 90.00
_symmetry_space_group_name_H-M 'P 4/m b m'
_symmetry_Int_Tables_number 127
_symmetry_space_group_name_Hall '-P 4 2ab'
loop_
_atom_site_label
_atom_site_type_symbol
_atom_site_fract_x
_atom_site_fract_y
_atom_site_fract_z
_atom_site_occupancy
Na1 Na 0.1752 0.3248 0.0000 1
Ge1 Ge 0.1237 0.6237 0.0000 1
Pd1 Pd 0.0000 0.5000 0.5000 1
Pd2 Pd 0.0657 0.7851 0.5000 1
Pb1 Pb 0.0000 0.0000 0.0000 1
# DFT total energy   -4.523 eV per atom
# V   18.6 Å³/atom